Sc2GaCu2 | PBE | optimized geometry

Cell lengths 7.4529, 7.4529, 7.4529 Å; angles 152.73, 152.73, 38.95 degrees
Closest atoms and distances in Å follow each position.
Fractional positions:
Sc (0.1046, 0.1046, 0.0000)  4 Cu 2.69, 4 Ga 2.89, 1 Sc 2.94
Sc (0.8954, 0.8954, 0.0000)  4 Cu 2.69, 4 Ga 2.89, 1 Sc 2.94
Ga (0.5000, 0.5000, 0.0000)  8 Sc 2.89
Cu (0.2500, 0.7500, 0.5000)  4 Cu 2.48, 4 Sc 2.69
Cu (0.7500, 0.2500, 0.5000)  4 Cu 2.48, 4 Sc 2.69

Calculated values
As for the crystal system: tetragonal. Its total energy is -23.43 eV per formula unit. Its space group is I4/mmm, No. 139.


K2HfOsO6 | PBE | optimized geometry

Cell lengths 5.6400, 5.6400, 5.6400 Å; angles 60.05, 60.05, 60.05 degrees
Closest atoms and distances in Å follow each position.
Fractional positions:
K (0.2499, 0.2499, 0.2499)  12 O 2.82
K (0.7501, 0.7501, 0.7501)  12 O 2.82
Hf (0.0000, 0.0000, 0.0000)  6 O 2.07
Os (0.5000, 0.5000, 0.5000)  6 O 1.92
O (0.2589, 0.2589, 0.7411)  1 Os 1.92, 1 Hf 2.07
O (0.2589, 0.7411, 0.2589)  1 Os 1.92, 1 Hf 2.07
O (0.2589, 0.7411, 0.7411)  1 Os 1.92, 1 Hf 2.07
O (0.7411, 0.2589, 0.2589)  1 Os 1.92, 1 Hf 2.07
O (0.7411, 0.2589, 0.7411)  1 Os 1.92, 1 Hf 2.07
O (0.7411, 0.7411, 0.2589)  1 Os 1.92, 1 Hf 2.07

Calculated values
As for the crystal system: trigonal. Its total energy is -73.50 eV per formula unit. Its space group is R-3m, No. 166.


LiPmPO | PBE | optimized geometry

Cell lengths 3.6455, 7.5327, 5.7824 Å; angles 90.00, 90.00, 90.00 degrees
Closest atoms and distances in Å follow each position.
Fractional positions:
Li (0.0000, 0.0876, 0.0000)  2 O 1.91-1.98
Li (0.0000, 0.9124, 0.5000)  2 O 1.91-1.98
Pm (0.5000, 0.2908, 0.3884)  2 O 2.20
Pm (0.5000, 0.7092, 0.8884)  2 O 2.20
P (0.5000, 0.3278, 0.8843)  2 Li 2.65, 3 Pm 2.87-2.93
P (0.5000, 0.6722, 0.3843)  2 Li 2.65, 3 Pm 2.87-2.93
O (0.0000, 0.1324, 0.3374)  2 Li 1.91-1.98
O (0.0000, 0.8676, 0.8374)  2 Li 1.91-1.98

Calculated values
As for the crystal system: orthorhombic. Its total energy is -23.48 eV per formula unit. Its space group is Pmc2_1, No. 26.